Record 1
## GaRe2Os (GGA-PBE)

Data for a geometry-optimized GaRe2Os structure.

The space-group type is R-3m. The energy of formation is 0.10 eV/atom. As for the total energy: -0.356 Ha/atom.

Geometry as POSCAR:
```
GaRe2Os
1.0
2.7842 0.0000 0.0000
1.3921 2.4112 0.0000
1.3921 0.8037 8.8621
Re Os Ga
2 1 1
direct
0.2513 0.2513 0.2460 Re
0.7487 0.7487 0.7540 Re
0.0000 0.0000 0.0000 Os
0.5000 0.5000 0.5000 Ga
```



Record 2
## LaBeTl2Te (GGA-PBE)

Data for a geometry-optimized LaBeTl2Te structure.

The space-group type is P4/mmm. As for the total energy: -0.107 Ha/atom. Its formation energy from raw total energies is 0.40 eV/atom.

Geometry as POSCAR:
```
LaBeTl2Te
1.0
-1.2914 2.9416 -5.3883
2.9160 -2.4388 -2.0303
-4.4351 -4.2542 -1.2595
Be Tl Te La
1 2 1 1
direct
0.0000 0.5000 0.0000 Be
0.0000 0.0000 0.5000 Tl
0.5000 0.0000 0.0000 Tl
0.0000 0.0000 0.0000 Te
0.5000 0.5000 0.5000 La
```



Record 3
## LaInPb2 (GGA-PBE)

Data for a geometry-optimized LaInPb2 structure.

The space-group type is R-3m. The energy of formation is -0.14 eV/atom. As for the total energy: -0.144 Ha/atom.

Geometry as POSCAR:
```
LaInPb2
1.0
-5.9434 1.0664 -8.7448
-2.6898 0.1122 -10.2803
-5.0019 -2.5235 -9.0303
In La Pb
1 1 2
direct
0.2500 0.2500 0.2500 In
0.7500 0.7500 0.7500 La
0.9939 0.9939 0.9939 Pb
0.5061 0.5061 0.5061 Pb
```



Record 4
## Al2SnPb (GGA-PBE)

Data for a geometry-optimized Al2SnPb structure.

The space-group type is I-42d. The energy of formation is 0.38 eV/atom. The value obtained for the relative energy among the computed polymorphs is 141 meV/atom. As for the total energy: -0.126 Ha/atom.

Geometry as POSCAR:
```
Al2SnPb
1.0
6.6191 0.0000 0.0000
0.0000 6.6191 0.0000
3.3096 3.3096 5.7946
Pb Sn Al
2 2 4
direct
0.0000 0.0000 0.0000 Pb
0.7500 0.2500 0.5000 Pb
0.5000 0.5000 0.0000 Sn
0.2500 0.7500 0.5000 Sn
0.6130 0.1250 0.2500 Al
0.1370 0.6250 0.2500 Al
0.3750 0.3870 0.7500 Al
0.8750 0.8630 0.7500 Al
```



Record 5
## LaTbHoHg (GGA-PBE)

Data for a geometry-optimized LaTbHoHg structure.

The space-group type is F-43m. The energy of formation is -0.07 eV/atom. The value obtained for the relative energy among the computed polymorphs is 154 meV/atom. As for the total energy: -0.135 Ha/atom.

Geometry as POSCAR:
```
LaTbHoHg
1.0
5.5133 0.0000 0.0000
2.7567 4.7747 0.0000
2.7567 1.5916 4.5016
La Tb Hg Ho
1 1 1 1
direct
0.2500 0.2500 0.2500 La
0.7500 0.7500 0.7500 Tb
0.5000 0.5000 0.5000 Hg
0.0000 0.0000 0.0000 Ho
```



Record 6
## MgNb2HRh (GGA-PBE)

Data for a geometry-optimized MgNb2HRh structure.

The space-group type is P4/mmm. The value obtained for the relative energy among the computed polymorphs is 0 meV/atom. As for the total energy: -0.243 Ha/atom.

Geometry as POSCAR:
```
MgNb2HRh
1.0
4.0174 0.0000 0.0000
0.0000 4.0174 0.0000
0.0000 0.0000 4.3791
H Nb Rh Mg
1 2 1 1
direct
0.0000 0.0000 0.0000 H
0.0000 0.5000 0.0000 Nb
0.5000 0.0000 0.0000 Nb
0.5000 0.5000 0.5000 Rh
0.0000 0.0000 0.5000 Mg
```



> Number 2 is which compound?

LaBeTl2Te